1.
The following is a PBE-GGA calculation of an optimized crystal structure of CoNiTe2N, from Alexandria.

Calculated volume (A^3/atom): 17.88
Space group: P4/mmm
E_tot (eV for the cell shown): -25.31
Formation energy (no corrections) (meV per atom): 438
N(E_F) (states/eV/cell): 4.0

abc: 5.180 5.180 3.332
angles: 90.00 90.00 90.00
Atoms (fractional coordinates):
Te1 0.000 0.500 0.000
Te2 0.500 0.000 0.000
N1 0.000 0.000 0.500
Ni1 0.500 0.500 0.500
Co1 0.000 0.000 0.000

---

2.
The following is a PBE-GGA calculation of an optimized crystal structure of HfTh2Co, from Alexandria.

Calculated volume (A^3/atom): 26.38
Space group: R-3m
E_tot (eV for the cell shown): -30.28
N(E_F) (states/eV/cell): 5.8

abc: 3.547 3.547 9.898
angles: 79.68 79.68 60.00
Each line ends with the local moment (μB).
Atoms (fractional coordinates):
Th1 0.894 0.894 0.318  0.07
Th2 0.106 0.106 0.682  0.07
Hf1 0.000 0.000 0.000  0.27
Co1 0.500 0.500 0.500  0.04

---

3.
The following is a PBE-GGA calculation of an optimized crystal structure of AcYNp2O8, from Alexandria.

Calculated volume (A^3/atom): 13.69
Space group: I-4m2
E_tot (eV for the cell shown): -113.98
Formation energy (no corrections) (meV per atom): -3155
N(E_F) (states/eV/cell): 14.2

abc: 5.513 5.513 6.664
angles: 114.44 114.44 90.00
Each line ends with the local moment (μB).
Atoms (fractional coordinates):
O1 0.152 0.119 0.757  -0.08
O2 0.605 0.638 0.757  -0.08
O3 0.362 0.848 0.243  -0.08
O4 0.881 0.395 0.243  -0.08
O5 0.152 0.637 0.757  -0.08
O6 0.605 0.120 0.757  -0.08
O7 0.880 0.848 0.243  -0.08
O8 0.363 0.395 0.243  -0.08
Np1 0.500 0.500 0.000  2.38
Np2 0.250 0.750 0.500  2.25
Y1 0.000 0.000 0.000  0.00
Ac1 0.750 0.250 0.500  -0.01

---

4.
The following is a PBE-GGA calculation of an optimized crystal structure of Pm5InAu4, from Alexandria.

Calculated volume (A^3/atom): 25.79
Space group: P4/mmm
E_tot (eV for the cell shown): -46.84
N(E_F) (states/eV/cell): 7.4

abc: 3.686 3.686 18.982
angles: 90.00 90.00 90.00
Atoms (fractional coordinates):
Au1 0.000 0.000 0.403
Au2 0.000 0.000 0.794
Au3 0.000 0.000 0.206
Au4 0.000 0.000 0.597
Pm1 0.500 0.500 0.500
Pm2 0.500 0.500 0.110
Pm3 0.500 0.500 0.305
Pm4 0.500 0.500 0.695
Pm5 0.500 0.500 0.890
In1 0.000 0.000 0.000

---

5.
The following is a PBE-GGA calculation of an optimized crystal structure of PaSbPb, from Alexandria.

Calculated volume (A^3/atom): 28.34
Space group: P4/nmm
E_tot (eV for the cell shown): -36.34
Formation energy (no corrections) (meV per atom): -281
N(E_F) (states/eV/cell): 4.4

abc: 4.381 4.381 8.857
angles: 90.00 90.00 90.00
Atoms (fractional coordinates):
Sb1 0.000 0.500 0.353
Sb2 0.500 0.000 0.647
Pa1 0.000 0.500 0.705
Pa2 0.500 0.000 0.295
Pb1 0.000 0.000 0.000
Pb2 0.500 0.500 0.000

---

6.
The following is a PBE-GGA calculation of an optimized crystal structure of DyY2TmTl2, from Alexandria.

Calculated volume (A^3/atom): 28.72
Space group: Pmc2_1
E_tot (eV for the cell shown): -56.89
N(E_F) (states/eV/cell): 12.7

abc: 5.060 6.863 9.926
angles: 90.00 90.00 90.00
Atoms (fractional coordinates):
Tl1 0.000 0.299 0.867
Tl2 0.500 0.218 0.371
Tl3 0.000 0.799 0.133
Tl4 0.500 0.718 0.629
Dy1 0.000 0.459 0.545
Dy2 0.000 0.959 0.455
Tm1 0.500 0.675 0.311
Tm2 0.500 0.175 0.689
Y1 0.000 0.340 0.189
Y2 0.000 0.840 0.811
Y3 0.500 0.055 0.046
Y4 0.500 0.555 0.954